## PdIF2 (PBE)

Data for a geometry-optimized PdIF2 structure.

**Symmetry**: R-3m, No. 166
**Total DFT energy (no corrections)**: -3.3072 eV/atom
**Total moment**: 1.97 μB/cell
**Formation energy without anion corrections**: -0.6858 eV/atom
**Offset from the most stable computed form**: 0.0 meV per atom

Cell lengths 9.6989, 9.6989, 9.6989 Å; angles 20.15, 20.15, 20.15 degrees
With the nearest neighbours (Å) after each atom.
Fractional coordinates of all 4 atoms:
1 F 0.8703 0.8703 0.8703  3 Pd 2.22
2 F 0.1297 0.1297 0.1297  3 Pd 2.22
3 I 0.0000 0.0000 0.0000  6 I 3.39, 2 F 3.70
4 Pd 0.5000 0.5000 0.5000  6 F 2.22